(1)
Here is an optimized crystal structure of Lu3Si from Alexandria via LeMat-Bulk. Energies are from PBE.

a = 4.5342 Å, b = 4.5342 Å, c = 4.5342 Å
α = 90.00°, β = 90.00°, γ = 90.00°
Closest atoms and distances in Å follow each position.
Atoms (fractional coordinates):
Lu  0.0000  0.5000  0.5000  8 Lu 3.21, 4 Si 3.21
Lu  0.5000  0.0000  0.5000  8 Lu 3.21, 4 Si 3.21
Lu  0.5000  0.5000  0.0000  8 Lu 3.21, 4 Si 3.21
Si  0.0000  0.0000  0.0000  12 Lu 3.21

Calculated values
The space group is No. 221. For the density, the calculation gives 9.9 g cm⁻³. As for the uncorrected formation energy: -236 meV/atom. The value obtained for the distance to the lowest polymorph of the same formula is 0.30 eV/f.u. The magnetization is 0.019 μB per atom.

(2)
Here is an optimized crystal structure of Lu3Si from Alexandria via LeMat-Bulk. Energies are from PBE.

a = 3.7606 Å, b = 4.9129 Å, c = 6.1553 Å
α = 113.52°, β = 107.79°, γ = 90.00°
Closest atoms and distances in Å follow each position.
Atoms (fractional coordinates):
Si  0.0000  0.9168  0.0000  8 Lu 2.91-3.09
Lu  0.2915  0.7081  0.5830  2 Si 2.91, 4 Lu 3.22
Lu  0.5000  0.4166  0.0000  4 Si 3.09, 4 Lu 3.31
Lu  0.7085  0.1251  0.4170  2 Si 2.91, 4 Lu 3.22

Calculated values
The space group is No. 71. For the density, the calculation gives 9.3 g cm⁻³. As for the uncorrected formation energy: -313 meV/atom. The value obtained for the distance to the lowest polymorph of the same formula is 0.00 eV/f.u. The magnetization is 0.000 μB per atom.

Q: Which value of distance to the lowest polymorph of the same formula does entry 2 give?
A: 0.00 eV/f.u.

Please write out number 2 again, unchanged.
Here is an optimized crystal structure of Lu3Si from Alexandria via LeMat-Bulk. Energies are from PBE.

a = 3.7606 Å, b = 4.9129 Å, c = 6.1553 Å
α = 113.52°, β = 107.79°, γ = 90.00°
Closest atoms and distances in Å follow each position.
Atoms (fractional coordinates):
Si  0.0000  0.9168  0.0000  8 Lu 2.91-3.09
Lu  0.2915  0.7081  0.5830  2 Si 2.91, 4 Lu 3.22
Lu  0.5000  0.4166  0.0000  4 Si 3.09, 4 Lu 3.31
Lu  0.7085  0.1251  0.4170  2 Si 2.91, 4 Lu 3.22

Calculated values
The space group is No. 71. For the density, the calculation gives 9.3 g cm⁻³. As for the uncorrected formation energy: -313 meV/atom. The value obtained for the distance to the lowest polymorph of the same formula is 0.00 eV/f.u. The magnetization is 0.000 μB per atom.